Here is a relaxed structure of ZrHg2Pd8 from Alexandria via LeMat-Bulk. Energies are from PBE.

Properties
DFT formation energy   -372 meV/atom
Relative energy among the computed polymorphs   0.0000 eV/atom
M_tot   0.0 μB per cell
Crystal system   monoclinic

Cell: 4.1052 6.3782 7.6025 Å, 104.97 105.66 90.00°
Last column: nearest neighbours and their distance in Å.
Fractional coordinates of all 11 atoms:
Pd1 0.1324 0.1744 0.2649  7 Pd 2.79-2.97, 2 Zr 2.84, 3 Hg 2.94-2.95
Pd2 0.4121 0.5506 0.8242  1 Zr 2.81, 8 Pd 2.82-2.90, 3 Hg 2.90-2.98
Pd3 0.6783 0.9116 0.3565  3 Hg 2.80-2.85, 1 Zr 2.81, 8 Pd 2.84-2.97
Pd4 0.5879 0.4494 0.1758  1 Zr 2.81, 8 Pd 2.82-2.90, 3 Hg 2.90-2.98
Pd5 0.8676 0.8256 0.7351  7 Pd 2.79-2.97, 2 Zr 2.84, 3 Hg 2.94-2.95
Pd6 0.0417 0.7261 0.0834  9 Pd 2.79-2.90, 1 Hg 2.84, 2 Zr 2.87
Pd7 0.3217 0.0884 0.6435  3 Hg 2.80-2.85, 1 Zr 2.81, 8 Pd 2.84-2.97
Pd8 0.9583 0.2739 0.9166  9 Pd 2.79-2.90, 1 Hg 2.84, 2 Zr 2.87
Hg1 0.7767 0.3540 0.5533  10 Pd 2.80-2.98, 2 Hg 3.01
Hg2 0.2233 0.6460 0.4467  10 Pd 2.80-2.98, 2 Hg 3.01
Zr1 0.5000 0.0000 0.0000  12 Pd 2.81-2.87

Here is a relaxed structure of ZrHg2Pd from Alexandria via LeMat-Bulk. Energies are from PBE.

Properties
DFT formation energy   -236 meV/atom
M_tot   0.0 μB per cell
Crystal system   cubic

Cell: 4.8008 4.8008 4.8008 Å, 60.00 60.00 60.00°
Last column: nearest neighbours and their distance in Å.
Fractional coordinates of all 4 atoms:
Hg1 0.7500 0.7500 0.7500  4 Zr 2.94, 4 Pd 2.94
Hg2 0.2500 0.2500 0.2500  4 Pd 2.94, 4 Zr 2.94
Pd1 0.5000 0.5000 0.5000  8 Hg 2.94
Zr1 0.0000 0.0000 0.0000  8 Hg 2.94

Here is a relaxed structure of ZrHgPd3 from Alexandria via LeMat-Bulk. Energies are from PBE.

Properties
DFT formation energy   -362 meV/atom
Relative energy among the computed polymorphs   0.0000 eV/atom
M_tot   0.0 μB per cell
Crystal system   triclinic

Cell: 5.1100 5.4507 7.2914 Å, 111.85 79.73 90.00°
Last column: nearest neighbours and their distance in Å.
Fractional coordinates of all 10 atoms:
Pd1 0.3136 0.5921 0.6824  5 Pd 2.72-2.86, 3 Zr 2.74-2.98
Pd2 0.0000 0.0000 0.0000  6 Pd 2.55-2.78, 2 Zr 2.79
Pd3 0.5000 0.0000 0.0000  6 Pd 2.55-2.86, 2 Zr 2.78
Pd4 0.6867 0.9086 0.3175  5 Pd 2.72-2.86, 3 Zr 2.74-2.99
Pd5 0.6864 0.4079 0.3176  5 Pd 2.72-2.86, 3 Zr 2.74-2.98
Pd6 0.3133 0.0914 0.6825  5 Pd 2.72-2.86, 3 Zr 2.74-2.99
Hg1 0.2200 0.5732 0.1457  10 Pd 3.07-3.37, 2 Zr 3.12, 2 Hg 3.15-3.26
Hg2 0.7800 0.4268 0.8543  10 Pd 3.07-3.37, 2 Zr 3.12, 2 Hg 3.15-3.26
Zr1 0.1573 0.1868 0.3733  8 Pd 2.74-2.99
Zr2 0.8427 0.8132 0.6267  8 Pd 2.74-2.99

Number 3 is which compound?
ZrHgPd3

Copy entry 1 word for word.
Here is a relaxed structure of ZrHg2Pd8 from Alexandria via LeMat-Bulk. Energies are from PBE.

Properties
DFT formation energy   -372 meV/atom
Relative energy among the computed polymorphs   0.0000 eV/atom
M_tot   0.0 μB per cell
Crystal system   monoclinic

Cell: 4.1052 6.3782 7.6025 Å, 104.97 105.66 90.00°
Last column: nearest neighbours and their distance in Å.
Fractional coordinates of all 11 atoms:
Pd1 0.1324 0.1744 0.2649  7 Pd 2.79-2.97, 2 Zr 2.84, 3 Hg 2.94-2.95
Pd2 0.4121 0.5506 0.8242  1 Zr 2.81, 8 Pd 2.82-2.90, 3 Hg 2.90-2.98
Pd3 0.6783 0.9116 0.3565  3 Hg 2.80-2.85, 1 Zr 2.81, 8 Pd 2.84-2.97
Pd4 0.5879 0.4494 0.1758  1 Zr 2.81, 8 Pd 2.82-2.90, 3 Hg 2.90-2.98
Pd5 0.8676 0.8256 0.7351  7 Pd 2.79-2.97, 2 Zr 2.84, 3 Hg 2.94-2.95
Pd6 0.0417 0.7261 0.0834  9 Pd 2.79-2.90, 1 Hg 2.84, 2 Zr 2.87
Pd7 0.3217 0.0884 0.6435  3 Hg 2.80-2.85, 1 Zr 2.81, 8 Pd 2.84-2.97
Pd8 0.9583 0.2739 0.9166  9 Pd 2.79-2.90, 1 Hg 2.84, 2 Zr 2.87
Hg1 0.7767 0.3540 0.5533  10 Pd 2.80-2.98, 2 Hg 3.01
Hg2 0.2233 0.6460 0.4467  10 Pd 2.80-2.98, 2 Hg 3.01
Zr1 0.5000 0.0000 0.0000  12 Pd 2.81-2.87